The following is a DFT calculation (PBE-GGA) of a geometry-optimized Dy6Tl2Pd structure.

The space group is P-62m (No. 189) and the conventional cell measures 8.7833, 8.7833 and 3.7640 Å, with angles of 90.00, 90.00 and 120.00 degrees. The asymmetric unit holds Dy at (0.0000, 0.2473, 0.0000), Dy at (0.0000, 0.6039, 0.5000), Tl at (0.3333, 0.6667, 0.0000) and Pd at (0.0000, 0.0000, 0.5000).

Its formation energy is -0.3727 eV/atom. The value obtained for the polymorph energy (0 for the lowest one) is 0.0 kJ per mole of atoms.

The following is a DFT calculation (PBE-GGA) of a geometry-optimized Ca3CrAs structure.

The space group is Pm-3m (No. 221) and the conventional cell measures 5.610, 5.610 and 5.610 Å, with angles of 90.00, 90.00 and 90.00 degrees. The asymmetric unit holds Ca at (0.000, 0.000, 0.500), Cr at (0.500, 0.500, 0.500) and As at (0.000, 0.000, 0.000).

Its formation energy is -0.0750 eV/atom. The value obtained for the polymorph energy (0 for the lowest one) is 0.0 kJ per mole of atoms.